Here is CdIrSe2 after structural relaxation from Alexandria via LeMat-Bulk. Energies are from PBE. Values from VASP.

Results
- Space-group type: P4/mmm, No. 123
- Total DFT energy (no corrections): -3.8273 eV/atom
- Raw formation energy: 359 meV/atom
- Total magnetization: 0.00 μB/f.u.

```
&SYSTEM
  ibrav = 0, nat = 4, ntyp = 3
/
ATOMIC_SPECIES
Se 78.96 Se.upf
Ir 192.22 Ir.upf
Cd 112.41 Cd.upf
ATOMIC_POSITIONS crystal
Se 0.000 0.000 0.000
Se 0.500 0.500 0.000
Ir 0.000 0.500 0.500
Cd 0.500 0.000 0.500
CELL_PARAMETERS angstrom
-0.405 3.513 3.320
2.489 -2.705 3.164
2.671 1.268 -1.016
```